Below is a geometry-optimized Pm2TaGe3 structure, with properties calculated at the PBE-GGA level.

a b c (Å): 7.031 7.031 7.031
angles (deg): 146.76 131.97 59.66
Sites, in units of the cell vectors:
Pm (0.172, 0.172, 0.000)
Pm (0.828, 0.828, 0.000)
Ta (0.500, 0.500, 0.000)
Ge (0.000, 0.500, 0.500)
Ge (0.355, 0.855, 0.500)
Ge (0.645, 0.145, 0.500)

Formation energy from the elements in meV/atom: -473
Space-group type: No. 71
Density in kg/m³: 8150

Below is a geometry-optimized PmTa4Ge2 structure, with properties calculated at the PBE-GGA level.

a b c (Å): 8.697 8.697 4.347
angles (deg): 90.00 90.00 155.25
Sites, in units of the cell vectors:
Pm (0.000, 0.000, 0.000)
Ta (0.184, 0.816, 0.500)
Ta (0.320, 0.680, 0.000)
Ta (0.680, 0.320, 0.000)
Ta (0.816, 0.184, 0.500)
Ge (0.426, 0.574, 0.500)
Ge (0.574, 0.426, 0.500)

Formation energy from the elements in meV/atom: -324
Space-group type: No. 65
Density in kg/m³: 12236

Below is a geometry-optimized Pm3Ta2Ge4 structure, with properties calculated at the PBE-GGA level.

a b c (Å): 6.598 6.598 8.692
angles (deg): 111.33 111.33 35.87
Sites, in units of the cell vectors:
Pm (0.000, 0.000, 0.000)
Pm (0.384, 0.384, 0.297)
Pm (0.616, 0.616, 0.703)
Ta (0.302, 0.302, 0.625)
Ta (0.698, 0.698, 0.375)
Ge (0.074, 0.074, 0.405)
Ge (0.295, 0.295, 0.929)
Ge (0.705, 0.705, 0.071)
Ge (0.926, 0.926, 0.595)

Formation energy from the elements in meV/atom: -548
Space-group type: No. 12
Density in kg/m³: 8815

Below is a geometry-optimized PmTaGe2 structure, with properties calculated at the PBE-GGA level.

a b c (Å): 3.521 3.521 6.496
angles (deg): 90.00 90.00 90.00
Sites, in units of the cell vectors:
Pm (0.000, 0.000, 0.000)
Ta (0.000, 0.000, 0.500)
Ge (0.500, 0.500, 0.300)
Ge (0.500, 0.500, 0.700)

Formation energy from the elements in meV/atom: -289
Space-group type: No. 123
Density in kg/m³: 9720

Below is a geometry-optimized PmTaGe structure, with properties calculated at the PBE-GGA level.

a b c (Å): 11.199 11.199 3.517
angles (deg): 90.00 90.00 157.86
Sites, in units of the cell vectors:
Pm (0.076, 0.924, 0.750)
Pm (0.924, 0.076, 0.250)
Ta (0.237, 0.763, 0.750)
Ta (0.763, 0.237, 0.250)
Ge (0.336, 0.664, 0.250)
Ge (0.664, 0.336, 0.750)

Formation energy from the elements in meV/atom: 156
Energy above the most stable polymorph in this dataset in meV per atom: 710.2
Space-group type: No. 63
Density in kg/m³: 7964

Below is a geometry-optimized PmTaVGe2 structure, with properties calculated at the PBE-GGA level.

a b c (Å): 6.627 6.627 6.627
angles (deg): 144.92 144.92 50.46
Sites, in units of the cell vectors:
Pm (0.000, 0.000, 0.000)
Ta (0.250, 0.750, 0.500)
V (0.750, 0.250, 0.500)
Ge (0.392, 0.392, 0.000)
Ge (0.608, 0.608, 0.000)

Formation energy from the elements in meV/atom: -518
Space-group type: No. 119
Density in kg/m³: 9063